VASP calculation (PBE-GGA) on crystalline TbTm4ScS8 at its relaxed geometry.

The density of states at the Fermi level comes out at 0.591 states/eV/atom. The calculation puts the spin magnetization at 0.0 μB per formula unit. Its volume is 24.94 Å³ per atom. As for the total energy: -88.464 eV/cell. As for the formation energy from raw total energies: -1.900 eV per atom.

a = 7.9543 Å, b = 7.9543 Å, c = 7.8554 Å
α = 59.58°, β = 59.58°, γ = 60.00°
Sites, in units of the cell vectors:
Tb 0.3783 0.3783 0.8652
Tm 0.6225 0.6225 0.1325
Tm 0.9998 0.5004 0.4999
Tm 0.5004 0.9998 0.4999
Tm 0.9998 0.9998 0.4999
Sc 0.9996 0.9996 0.0012
S 0.2355 0.7810 0.7480
S 0.7810 0.2355 0.7480
S 0.2355 0.2355 0.7480
S 0.2419 0.2419 0.2742
S 0.7619 0.2251 0.2510
S 0.2251 0.7619 0.2510
S 0.7619 0.7619 0.2510
S 0.7567 0.7567 0.7299



VASP calculation (PBE-GGA) on crystalline Tb4TmSc3S8 at its relaxed geometry.

The density of states at the Fermi level comes out at 0.635 states/eV/atom. The calculation puts the spin magnetization at 0.0 μB per formula unit. Its volume is 19.90 Å³ per atom. As for the total energy: -105.931 eV/cell. As for the formation energy from raw total energies: -1.933 eV per atom.

a = 7.6443 Å, b = 7.6848 Å, c = 7.6446 Å
α = 119.83°, β = 120.00°, γ = 90.00°
Sites, in units of the cell vectors:
Tb 0.5000 0.0000 0.0000
Tb 0.5000 0.0000 0.5000
Tb 0.0000 0.0000 0.0000
Tb 0.0000 0.0000 0.5000
Tm 0.0000 0.5000 0.0000
Sc 0.5000 0.5000 0.0000
Sc 0.5000 0.5000 0.5000
Sc 0.0000 0.5000 0.5000
S 0.2473 0.7349 0.9875
S 0.2473 0.7349 0.4947
S 0.2562 0.2685 0.5124
S 0.7402 0.7349 0.9875
S 0.2598 0.2651 0.0125
S 0.7438 0.7315 0.4876
S 0.7527 0.2651 0.5053
S 0.7527 0.2651 0.0125



VASP calculation (PBE-GGA) on crystalline Tb2TmScS4 at its relaxed geometry.

The density of states at the Fermi level comes out at 0.603 states/eV/atom. The calculation puts the spin magnetization at 0.0 μB per formula unit. Its volume is 20.18 Å³ per atom. As for the total energy: -52.138 eV/cell. As for the formation energy from raw total energies: -1.946 eV per atom.

a = 3.8152 Å, b = 6.6464 Å, c = 6.7362 Å
α = 109.04°, β = 90.00°, γ = 90.00°
Sites, in units of the cell vectors:
Tb 0.5000 0.0000 0.5000
Tb 0.0000 0.5000 0.5000
Tm 0.5000 0.5000 0.0000
Sc 0.0000 0.0000 0.0000
S 0.5000 0.2405 0.2351
S 0.5000 0.7595 0.7649
S 0.0000 0.2494 0.7615
S 0.0000 0.7506 0.2385